{
  "formula": "MgTl2F4",
  "functional": "PBE",
  "state": "optimized geometry",
  "magnetic_moment_mub_per_fu": 0.00,
  "dft_energy_ev_per_atom": -4.51,
  "vol_a3_per_cell": 120.7,
  "cell": [[4.0739, 0.0000, 0.0000], [0.0000, 4.0739, 0.0000], [2.0370, 2.0370, 7.2697]],
  "species": ["F", "F", "F", "F", "Mg", "Tl", "Tl"],
  "fractional_positions": [[0.8614, 0.8614, 0.2771], [0.0000, 0.5000, 0.0000], [0.1386, 0.1386, 0.7229], [0.5000, 0.0000, 0.0000], [0.0000, 0.0000, 0.0000], [0.6495, 0.6495, 0.7010], [0.3505, 0.3505, 0.2990]]
}